Record 1
A plane-wave DFT calculation with PBE-GGA was carried out for crystalline Rb3Cu2BrCl9 at its relaxed geometry.

Cell: 7.1652 7.1652 8.8571 Å, 90.00 90.00 120.00°
Fractional coordinates of all 15 atoms:
Rb  0.0000  0.0000  0.0000
Rb  0.3333  0.6667  0.6713
Rb  0.6667  0.3333  0.3287
Cu  0.3333  0.6667  0.1564
Cu  0.6667  0.3333  0.8436
Br  0.0000  0.0000  0.5000
Cl  0.0000  0.5000  0.0000
Cl  0.1806  0.3612  0.3126
Cl  0.1806  0.8194  0.3126
Cl  0.3612  0.1806  0.6874
Cl  0.5000  0.0000  0.0000
Cl  0.5000  0.5000  0.0000
Cl  0.6388  0.8194  0.3126
Cl  0.8194  0.1806  0.6874
Cl  0.8194  0.6388  0.6874

Summary:
- Formation energy (no corrections): -21.9 kcal/mol of atoms
- Fermi-level density of states: 5.5 states/eV per cell

***

Record 2
A plane-wave DFT calculation with PBE-GGA was carried out for crystalline Rb3Cu2Br5Cl2 at its relaxed geometry.

Cell: 13.6551 13.6551 13.6551 Å, 157.90 157.90 31.45°
Fractional coordinates of all 12 atoms:
Rb  0.0000  0.0000  0.0000
Rb  0.1840  0.1840  0.0000
Rb  0.8160  0.8160  0.0000
Cu  0.4006  0.4006  0.0000
Cu  0.5994  0.5994  0.0000
Br  0.0946  0.5946  0.5000
Br  0.4054  0.9054  0.5000
Br  0.5000  0.5000  0.0000
Br  0.5946  0.0946  0.5000
Br  0.9054  0.4054  0.5000
Cl  0.3101  0.3101  0.0000
Cl  0.6899  0.6899  0.0000

Summary:
- Formation energy (no corrections): -24.6 kcal/mol of atoms
- Fermi-level density of states: 3.6 states/eV per cell

***

Record 3
A plane-wave DFT calculation with PBE-GGA was carried out for crystalline Rb2CuBr2Cl2 at its relaxed geometry.

Cell: 7.1681 7.1681 6.7710 Å, 114.25 114.25 102.66°
Fractional coordinates of all 7 atoms:
Rb  0.2489  0.7511  0.0000
Rb  0.7511  0.2489  0.0000
Cu  0.5000  0.5000  0.5000
Br  0.2586  0.2586  0.0155
Br  0.7414  0.7414  0.9845
Cl  0.2969  0.7031  0.5000
Cl  0.7031  0.2969  0.5000

Summary:
- Formation energy (no corrections): -28.8 kcal/mol of atoms
- Fermi-level density of states: 0.5 states/eV per cell

***

Record 4
A plane-wave DFT calculation with PBE-GGA was carried out for crystalline CuRh2BrCl at its relaxed geometry.

Cell: 4.2795 4.2795 6.8277 Å, 90.00 90.00 90.00°
Fractional coordinates of all 5 atoms:
Cu  0.0000  0.0000  0.0000
Rh  0.0000  0.5000  0.5000
Rh  0.5000  0.0000  0.5000
Br  0.5000  0.5000  0.0000
Cl  0.5000  0.5000  0.5000

Summary:
- Formation energy (no corrections): 21.7 kcal/mol of atoms
- Fermi-level density of states: 7.3 states/eV per cell

***

Record 5
A plane-wave DFT calculation with PBE-GGA was carried out for crystalline CuSe2BrCl at its relaxed geometry.

Cell: 4.8599 4.8599 4.8805 Å, 90.00 90.00 90.00°
Fractional coordinates of all 5 atoms:
Cu  0.0000  0.0000  0.0000
Se  0.0000  0.5000  0.0000
Se  0.5000  0.0000  0.0000
Br  0.0000  0.0000  0.5000
Cl  0.5000  0.5000  0.5000

Summary:
- Formation energy (no corrections): 10.4 kcal/mol of atoms
- Fermi-level density of states: 5.6 states/eV per cell

***

Record 6
A plane-wave DFT calculation with PBE-GGA was carried out for crystalline CuSe2BrCl at its relaxed geometry.

Cell: 4.7304 4.7304 7.1662 Å, 90.00 90.00 90.00°
Fractional coordinates of all 5 atoms:
Cu  0.0000  0.0000  0.0000
Se  0.0000  0.5000  0.5000
Se  0.5000  0.0000  0.5000
Br  0.5000  0.5000  0.0000
Cl  0.5000  0.5000  0.5000

Summary:
- Formation energy (no corrections): 21.7 kcal/mol of atoms
- Fermi-level density of states: 4.9 states/eV per cell

***

Record 7
A plane-wave DFT calculation with PBE-GGA was carried out for crystalline CuSe2BrCl at its relaxed geometry.

Cell: 4.9048 4.9048 4.6018 Å, 90.00 90.00 90.00°
Fractional coordinates of all 5 atoms:
Cu  0.0000  0.0000  0.0000
Se  0.0000  0.5000  0.0000
Se  0.5000  0.0000  0.0000
Br  0.5000  0.5000  0.5000
Cl  0.0000  0.0000  0.5000

Summary:
- Formation energy (no corrections): 7.9 kcal/mol of atoms
- Fermi-level density of states: 4.4 states/eV per cell

***

Record 8
A plane-wave DFT calculation with PBE-GGA was carried out for crystalline CuTcBrCl6 at its relaxed geometry.

Cell: 6.2189 6.2189 7.6487 Å, 90.11 90.11 120.08°
Fractional coordinates of all 9 atoms:
Cu  0.0000  0.0000  0.0000
Tc  0.6668  0.3332  0.0000
Br  0.3328  0.6672  0.5000
Cl  0.3423  0.0332  0.8230
Cl  0.3427  0.3094  0.1762
Cl  0.6907  0.0340  0.1765
Cl  0.6906  0.6573  0.8238
Cl  0.9660  0.3093  0.8235
Cl  0.9668  0.6577  0.1770

Summary:
- Formation energy (no corrections): -9.7 kcal/mol of atoms
- Fermi-level density of states: 4.6 states/eV per cell

***

Record 9
A plane-wave DFT calculation with PBE-GGA was carried out for crystalline CuTe2BrCl at its relaxed geometry.

Cell: 5.1726 5.1726 4.9766 Å, 90.00 90.00 90.00°
Fractional coordinates of all 5 atoms:
Cu  0.0000  0.0000  0.0000
Te  0.0000  0.5000  0.0000
Te  0.5000  0.0000  0.0000
Br  0.0000  0.0000  0.5000
Cl  0.5000  0.5000  0.5000

Summary:
- Formation energy (no corrections): 6.3 kcal/mol of atoms
- Fermi-level density of states: 4.7 states/eV per cell

***

Record 10
A plane-wave DFT calculation with PBE-GGA was carried out for crystalline Cu2TeBr2Cl2 at its relaxed geometry.

Cell: 7.4845 7.4845 8.1188 Å, 121.87 121.87 30.55°
Fractional coordinates of all 7 atoms:
Cu  0.1929  0.1929  0.0750
Cu  0.8071  0.8071  0.9250
Te  0.0000  0.0000  0.0000
Br  0.4431  0.4431  0.7076
Br  0.5569  0.5569  0.2924
Cl  0.2070  0.2070  0.7870
Cl  0.7930  0.7930  0.2130

Summary:
- Formation energy (no corrections): -7.6 kcal/mol of atoms
- Fermi-level density of states: 0.5 states/eV per cell

***

Record 11
A plane-wave DFT calculation with PBE-GGA was carried out for crystalline Tl3Cu2Br2Cl4 at its relaxed geometry.

Cell: 14.0692 14.0692 14.0692 Å, 160.54 160.54 27.66°
Fractional coordinates of all 11 atoms:
Tl  0.0000  0.0000  0.0000
Tl  0.1805  0.1805  0.0000
Tl  0.8195  0.8195  0.0000
Cu  0.4001  0.4001  0.0000
Cu  0.5999  0.5999  0.0000
Br  0.3044  0.3044  0.0000
Br  0.6956  0.6956  0.0000
Cl  0.0838  0.5838  0.5000
Cl  0.4162  0.9162  0.5000
Cl  0.5838  0.0838  0.5000
Cl  0.9162  0.4162  0.5000

Summary:
- Formation energy (no corrections): -16.5 kcal/mol of atoms
- Fermi-level density of states: 7.7 states/eV per cell

***

Record 12
A plane-wave DFT calculation with PBE-GGA was carried out for crystalline Tl2CuBr2Cl at its relaxed geometry.

Cell: 9.1136 9.1136 6.7429 Å, 90.00 90.00 50.36°
Fractional coordinates of all 12 atoms:
Tl  0.0536  0.6289  0.5000
Tl  0.3711  0.9464  0.5000
Tl  0.6289  0.0536  0.0000
Tl  0.9464  0.3711  0.0000
Cu  0.3424  0.6576  0.0544
Cu  0.6576  0.3424  0.5544
Br  0.0670  0.6711  0.9842
Br  0.3289  0.9330  0.9842
Br  0.6711  0.0670  0.4842
Br  0.9330  0.3289  0.4842
Cl  0.3881  0.6119  0.4022
Cl  0.6119  0.3881  0.9022

Summary:
- Formation energy (no corrections): -15.6 kcal/mol of atoms

***

Record 13
A plane-wave DFT calculation with PBE-GGA was carried out for crystalline Tl3Cu2Br4Cl2 at its relaxed geometry.

Cell: 13.8452 13.8452 13.8452 Å, 159.26 159.26 29.50°
Fractional coordinates of all 11 atoms:
Tl  0.0000  0.0000  0.0000
Tl  0.1844  0.1844  0.0000
Tl  0.8156  0.8156  0.0000
Cu  0.3907  0.3907  0.0000
Cu  0.6093  0.6093  0.0000
Br  0.0879  0.5879  0.5000
Br  0.4121  0.9121  0.5000
Br  0.5879  0.0879  0.5000
Br  0.9121  0.4121  0.5000
Cl  0.3017  0.3017  0.0000
Cl  0.6983  0.6983  0.0000

Summary:
- Formation energy (no corrections): -14.8 kcal/mol of atoms
- Fermi-level density of states: 4.7 states/eV per cell

***

Record 14
A plane-wave DFT calculation with PBE-GGA was carried out for crystalline Tl2CuBrCl3 at its relaxed geometry.

Cell: 8.5454 8.5454 8.5454 Å, 145.64 144.49 50.25°
Fractional coordinates of all 7 atoms:
Tl  0.1407  0.1407  0.0000
Tl  0.8593  0.8593  0.0000
Cu  0.5000  0.5000  0.0000
Br  0.0000  0.5000  0.5000
Cl  0.3488  0.3488  0.0000
Cl  0.5000  0.0000  0.5000
Cl  0.6512  0.6512  0.0000

Summary:
- Formation energy (no corrections): -16.7 kcal/mol of atoms
- Fermi-level density of states: 2.4 states/eV per cell

***

Record 15
A plane-wave DFT calculation with PBE-GGA was carried out for crystalline VCuBrCl6 at its relaxed geometry.

Cell: 6.2586 6.2635 7.6103 Å, 91.53 91.67 116.94°
Fractional coordinates of all 9 atoms:
V  0.0000  0.0000  0.0000
Cu  0.3194  0.6792  0.0001
Br  0.8432  0.1562  0.5003
Cl  0.0496  0.7386  0.1852
Cl  0.2578  0.9498  0.8134
Cl  0.2818  0.3378  0.1482
Cl  0.6591  0.7174  0.8528
Cl  0.7035  0.0280  0.1963
Cl  0.9688  0.2959  0.8051

Summary:
- Formation energy (no corrections): -16.4 kcal/mol of atoms
- Fermi-level density of states: 5.2 states/eV per cell

***

Record 16
A plane-wave DFT calculation with PBE-GGA was carried out for crystalline Cu2WBrCl at its relaxed geometry.

Cell: 4.3022 4.3022 6.4027 Å, 90.00 90.00 90.00°
Fractional coordinates of all 5 atoms:
Cu  0.0000  0.5000  0.0000
Cu  0.5000  0.0000  0.0000
W  0.0000  0.0000  0.5000
Br  0.5000  0.5000  0.5000
Cl  0.5000  0.5000  0.0000

Summary:
- Formation energy (no corrections): 31.3 kcal/mol of atoms
- Fermi-level density of states: 2.6 states/eV per cell

***

Record 17
A plane-wave DFT calculation with PBE-GGA was carried out for crystalline DyBr2Cl at its relaxed geometry.

Cell: 7.3722 7.3722 9.0830 Å, 90.00 90.00 149.42°
Fractional coordinates of all 8 atoms:
Dy  0.2436  0.7564  0.7500
Dy  0.7564  0.2436  0.2500
Br  0.1541  0.8459  0.0665
Br  0.1541  0.8459  0.4335
Br  0.8459  0.1541  0.5665
Br  0.8459  0.1541  0.9335
Cl  0.3840  0.6160  0.2500
Cl  0.6160  0.3840  0.7500

Summary:
- Formation energy (no corrections): -45.7 kcal/mol of atoms
- Fermi-level density of states: 0.0 states/eV per cell

***

Record 18
A plane-wave DFT calculation with PBE-GGA was carried out for crystalline DyBrClF at its relaxed geometry.

Cell: 7.7781 7.7781 7.7781 Å, 30.27 30.27 30.27°
Fractional coordinates of all 4 atoms:
Dy  0.0000  0.0000  0.0000
Br  0.8839  0.8839  0.8839
Cl  0.4022  0.4022  0.4022
F  0.6574  0.6574  0.6574

Summary:
- Formation energy (no corrections): -60.3 kcal/mol of atoms
- Fermi-level density of states: 0.0 states/eV per cell

***

Record 19
A plane-wave DFT calculation with PBE-GGA was carried out for crystalline DyHBrCl at its relaxed geometry.

Cell: 7.6397 7.6397 7.6397 Å, 28.77 28.77 28.77°
Fractional coordinates of all 4 atoms:
Dy  0.0000  0.0000  0.0000
H  0.3343  0.3343  0.3343
Br  0.7549  0.7549  0.7549
Cl  0.5878  0.5878  0.5878

Summary:
- Fermi-level density of states: 0.0 states/eV per cell

***

Record 20
A plane-wave DFT calculation with PBE-GGA was carried out for crystalline DyTl2Br3Cl3 at its relaxed geometry.

Cell: 8.6426 8.6426 3.8820 Å, 90.00 90.00 120.00°
Fractional coordinates of all 9 atoms:
Dy  0.0000  0.0000  0.0000
Tl  0.3333  0.6667  0.5000
Tl  0.6667  0.3333  0.5000
Br  0.0000  0.4134  0.0000
Br  0.4134  0.0000  0.0000
Br  0.5866  0.5866  0.0000
Cl  0.0000  0.7790  0.5000
Cl  0.2210  0.2210  0.5000
Cl  0.7790  0.0000  0.5000

Summary:
- Formation energy (no corrections): -30.0 kcal/mol of atoms
- Fermi-level density of states: 4.7 states/eV per cell

***

Listing V for the structures above in their given order: 26.253, 30.000, 36.542, 25.008, 23.055, 32.071, 22.141, 28.441, 26.630, 27.642, 28.094, 35.940, 30.242, 29.083, 29.509, 23.702, 31.396, 26.497, 22.836, 27.902 Å³ per atom.
Listing energy for the structures above in their given order: -2.908, -2.998, -3.117, -3.522, -2.466, -1.974, -2.576, -3.446, -2.505, -2.956, -3.082, -3.015, -2.977, -3.018, -3.599, -3.575, -4.428, -5.112, -4.522, -3.511 eV/atom.